No. 1
Entry from the Alexandria database: PmPuSc2Te4 after structural relaxation (PBE).

## Properties
Fermi-level density of states = 13.1 states/eV per cell
Formation energy without anion corrections = -9.47 eV/f.u.
Uncorrected energy = -53.8 eV per cell
Total moment = 6.03 Bohr magnetons per cell

Geometry as CIF:
```
data_PmPuSc2Te4
_chemical_formula_sum 'Pm1 Pu1 Sc2 Te4'
_cell_length_a 7.454
_cell_length_b 4.265
_cell_length_c 7.499
_cell_angle_alpha 90.00
_cell_angle_beta 108.93
_cell_angle_gamma 90.00
_space_group_name_H-M_alt 'P 1 2/m 1'
_space_group_IT_number 10
_space_group_name_Hall '-P 2y'
loop_
_atom_site_label
_atom_site_type_symbol
_atom_site_fract_x
_atom_site_fract_y
_atom_site_fract_z
Pm1 Pm 0.000 0.000 0.000
Pu1 Pu 0.500 0.500 0.000
Sc1 Sc 0.000 0.500 0.500
Sc2 Sc 0.500 0.000 0.500
Te1 Te 0.245 0.000 0.730
Te2 Te 0.259 0.500 0.272
```

No. 2
Entry from the Alexandria database: KNiAs2S8 after structural relaxation (PBE).

## Properties
Fermi-level density of states = 15.8 states/eV per cell
Formation energy without anion corrections = -0.81 eV/f.u.
Uncorrected energy = -150.0 eV per cell
Total moment = 0.00 Bohr magnetons per cell

Geometry as CIF:
```
data_KNiAs2S8
_chemical_formula_sum 'K3 Ni3 As6 S24'
_cell_length_a 5.5586
_cell_length_b 5.5586
_cell_length_c 32.7924
_cell_angle_alpha 90.00
_cell_angle_beta 90.00
_cell_angle_gamma 120.00
_space_group_name_H-M_alt 'R -3'
_space_group_IT_number 148
_space_group_name_Hall '-R 3'
loop_
_atom_site_label
_atom_site_type_symbol
_atom_site_fract_x
_atom_site_fract_y
_atom_site_fract_z
K1 K 0.0000 0.0000 0.0000
Ni1 Ni 0.0000 0.0000 0.5000
As1 As 0.0000 0.0000 0.2344
S1 S 0.0000 0.0000 0.2990
S2 S 0.0171 0.6226 0.7900
```

No. 3
Entry from the Alexandria database: CdTc2Se after structural relaxation (PBE).

## Properties
Fermi-level density of states = 7.1 states/eV per cell
Formation energy without anion corrections = 1.97 eV/f.u.
Offset from the most stable computed form = 391.6 meV/atom
Uncorrected energy = -46.3 eV per cell
Total moment = 0.00 Bohr magnetons per cell

Geometry as CIF:
```
data_CdTc2Se
_chemical_formula_sum 'Cd2 Tc4 Se2'
_cell_length_a 3.034
_cell_length_b 4.818
_cell_length_c 9.166
_cell_angle_alpha 90.00
_cell_angle_beta 90.00
_cell_angle_gamma 90.00
_space_group_name_H-M_alt 'I m m m'
_space_group_IT_number 71
_space_group_name_Hall '-I 2 2'
loop_
_atom_site_label
_atom_site_type_symbol
_atom_site_fract_x
_atom_site_fract_y
_atom_site_fract_z
Cd1 Cd 0.000 0.000 0.000
Tc1 Tc 0.000 0.500 0.215
Se1 Se 0.000 0.000 0.500
```

No. 4
Entry from the Alexandria database: KNb2FePt after structural relaxation (PBE).

## Properties
Fermi-level density of states = 6.1 states/eV per cell
Uncorrected energy = -29.6 eV per cell
Total moment = 0.00 Bohr magnetons per cell

Geometry as CIF:
```
data_KNb2FePt
_chemical_formula_sum 'K1 Nb2 Fe1 Pt1'
_cell_length_a 4.537
_cell_length_b 4.537
_cell_length_c 5.316
_cell_angle_alpha 90.00
_cell_angle_beta 90.00
_cell_angle_gamma 90.00
_space_group_name_H-M_alt 'P 4/m m m'
_space_group_IT_number 123
_space_group_name_Hall '-P 4 2'
loop_
_atom_site_label
_atom_site_type_symbol
_atom_site_fract_x
_atom_site_fract_y
_atom_site_fract_z
K1 K 0.000 0.000 0.000
Nb1 Nb 0.000 0.500 0.500
Fe1 Fe 0.000 0.000 0.500
Pt1 Pt 0.500 0.500 0.000
```

No. 5
Entry from the Alexandria database: Pm2Be2O5 after structural relaxation (PBE).

## Properties
Fermi-level density of states = 0.0 states/eV per cell
Formation energy without anion corrections = -25.88 eV/f.u.
Uncorrected energy = -135.2 eV per cell
Total moment = 0.00 Bohr magnetons per cell

Geometry as CIF:
```
data_Pm2Be2O5
_chemical_formula_sum 'Pm4 Be4 O10'
_cell_length_a 13.536
_cell_length_b 3.285
_cell_length_c 5.959
_cell_angle_alpha 90.00
_cell_angle_beta 109.76
_cell_angle_gamma 90.00
_space_group_name_H-M_alt 'C 1 2/m 1'
_space_group_IT_number 12
_space_group_name_Hall '-C 2y'
loop_
_atom_site_label
_atom_site_type_symbol
_atom_site_fract_x
_atom_site_fract_y
_atom_site_fract_z
Pm1 Pm 0.127 0.000 0.000
Be1 Be 0.198 0.500 0.549
O1 O 0.000 0.500 0.000
O2 O 0.174 0.000 0.416
O3 O 0.183 0.500 0.801
```

No. 6
Entry from the Alexandria database: TlRh3Br after structural relaxation (PBE).

## Properties
Fermi-level density of states = 8.7 states/eV per cell
Formation energy without anion corrections = 4.31 eV/f.u.
Offset from the most stable computed form = 0.0 meV/atom
Uncorrected energy = -21.8 eV per cell
Total moment = 0.00 Bohr magnetons per cell

Geometry as CIF:
```
data_TlRh3Br
_chemical_formula_sum 'Tl1 Rh3 Br1'
_cell_length_a 4.659
_cell_length_b 4.659
_cell_length_c 4.659
_cell_angle_alpha 90.00
_cell_angle_beta 90.00
_cell_angle_gamma 90.00
_space_group_name_H-M_alt 'P m -3 m'
_space_group_IT_number 221
_space_group_name_Hall '-P 4 2 3'
loop_
_atom_site_label
_atom_site_type_symbol
_atom_site_fract_x
_atom_site_fract_y
_atom_site_fract_z
Tl1 Tl 0.000 0.000 0.000
Rh1 Rh 0.000 0.500 0.500
Br1 Br 0.500 0.500 0.500
```

No. 7
Entry from the Alexandria database: TlCdPb2 after structural relaxation (PBE).

## Properties
Fermi-level density of states = 4.8 states/eV per cell
Offset from the most stable computed form = 0.0 meV/atom
Uncorrected energy = -31.9 eV per cell
Total moment = 0.00 Bohr magnetons per cell

Geometry as CIF:
```
data_TlCdPb2
_chemical_formula_sum 'Tl3 Cd3 Pb6'
_cell_length_a 3.4117
_cell_length_b 3.4117
_cell_length_c 34.9889
_cell_angle_alpha 90.00
_cell_angle_beta 90.00
_cell_angle_gamma 120.00
_space_group_name_H-M_alt 'R -3 m'
_space_group_IT_number 166
_space_group_name_Hall '-R 3 2"'
loop_
_atom_site_label
_atom_site_type_symbol
_atom_site_fract_x
_atom_site_fract_y
_atom_site_fract_z
Tl1 Tl 0.0000 0.0000 0.0000
Cd1 Cd 0.0000 0.0000 0.5000
Pb1 Pb 0.0000 0.0000 0.2462
```

No. 8
Entry from the Alexandria database: TiCu3Cl after structural relaxation (PBE).

## Properties
Fermi-level density of states = 7.1 states/eV per cell
Formation energy without anion corrections = 4.81 eV/f.u.
Offset from the most stable computed form = 0.0 meV/atom
Uncorrected energy = -17.2 eV per cell
Total moment = 2.23 Bohr magnetons per cell

Geometry as CIF:
```
data_TiCu3Cl
_chemical_formula_sum 'Ti1 Cu3 Cl1'
_cell_length_a 4.453
_cell_length_b 4.453
_cell_length_c 4.453
_cell_angle_alpha 90.00
_cell_angle_beta 90.00
_cell_angle_gamma 90.00
_space_group_name_H-M_alt 'P m -3 m'
_space_group_IT_number 221
_space_group_name_Hall '-P 4 2 3'
loop_
_atom_site_label
_atom_site_type_symbol
_atom_site_fract_x
_atom_site_fract_y
_atom_site_fract_z
Ti1 Ti 0.000 0.000 0.000
Cu1 Cu 0.000 0.500 0.500
Cl1 Cl 0.500 0.500 0.500
```

No. 9
Entry from the Alexandria database: Ac2B3Pd12Pt after structural relaxation (PBE).

## Properties
Fermi-level density of states = 29.6 states/eV per cell
Uncorrected energy = -305.0 eV per cell
Total moment = 0.00 Bohr magnetons per cell

Geometry as CIF:
```
data_Ac2B3Pd12Pt
_chemical_formula_sum 'Ac6 B9 Pd36 Pt3'
_cell_length_a 7.6954
_cell_length_b 7.6954
_cell_length_c 18.5815
_cell_angle_alpha 90.00
_cell_angle_beta 90.00
_cell_angle_gamma 120.00
_space_group_name_H-M_alt 'R -3 m'
_space_group_IT_number 166
_space_group_name_Hall '-R 3 2"'
loop_
_atom_site_label
_atom_site_type_symbol
_atom_site_fract_x
_atom_site_fract_y
_atom_site_fract_z
Ac1 Ac 0.0000 0.0000 0.1002
B1 B 0.0000 0.5000 0.0000
Pd1 Pd 0.0544 0.5272 0.8872
Pd2 Pd 0.0723 0.5361 0.3082
Pt1 Pt 0.0000 0.0000 0.5000
```

No. 10
Entry from the Alexandria database: DyY4Tm5 after structural relaxation (PBE).

## Properties
Fermi-level density of states = 27.3 states/eV per cell
Offset from the most stable computed form = 243.9 meV/atom
Uncorrected energy = -99.6 eV per cell
Total moment = 0.00 Bohr magnetons per cell

Geometry as CIF:
```
data_DyY4Tm5
_chemical_formula_sum 'Dy2 Y8 Tm10'
_cell_length_a 10.098
_cell_length_b 10.098
_cell_length_c 6.296
_cell_angle_alpha 90.00
_cell_angle_beta 90.00
_cell_angle_gamma 90.00
_space_group_name_H-M_alt 'I 4'
_space_group_IT_number 79
_space_group_name_Hall 'I 4'
loop_
_atom_site_label
_atom_site_type_symbol
_atom_site_fract_x
_atom_site_fract_y
_atom_site_fract_z
Dy1 Dy 0.000 0.000 0.000
Y1 Y 0.046 0.658 0.229
Tm1 Tm 0.000 0.000 0.458
Tm2 Tm 0.143 0.771 0.728
```